Compound: CaTa2As
Source: the Alexandria database
Functional: PBE
Structure: optimized geometry

The structure in POSCAR format:
```
CaTa2As
1.0
-4.0270 3.6449 -1.7350
-0.5496 0.4206 -5.6598
-0.3281 -3.4031 4.5633
As Ta Ca
1 2 1
direct
0.5223 0.5223 0.0000
0.7356 0.2356 0.5000
0.9766 0.9766 0.0000
0.2655 0.7655 0.5000
```

Output
SG: Imm2, No. 44
Formation energy from the elements: 32.84 kJ per mole of atoms
Final energy: -28.99 eV/cell
Crystal system: orthorhombic